[1]
An optimized crystal structure of TbPrGa2Ir2. Source: Alexandria via LeMat-Bulk, functional PBE.

The structure in POSCAR format:
```
TbPrGa2Ir2
1.0
4.405 0.000 0.000
-2.203 3.815 0.000
0.000 0.000 7.449
Tb Pr Ga Ir
1 1 2 2
direct
0.000 0.000 0.000
0.000 0.000 0.500
0.333 0.667 0.769
0.667 0.333 0.231
0.333 0.667 0.231
0.667 0.333 0.769
```

Values from the calculation:
space-group type	P-3m1
spin magnetization	0.00	μB per formula unit
E_form	-0.75	eV per atom

[2]
An optimized crystal structure of PrTiGaIr2. Source: Alexandria via LeMat-Bulk, functional PBE.

The structure in POSCAR format:
```
PrTiGaIr2
1.0
-2.045 2.045 5.806
2.045 -2.045 5.806
2.045 2.045 -5.806
Pr Ti Ga Ir
1 1 1 2
direct
0.000 0.000 0.000
0.250 0.750 0.500
0.750 0.250 0.500
0.386 0.386 0.000
0.614 0.614 0.000
```

Values from the calculation:
space-group type	I-4m2
spin magnetization	0.00	μB per formula unit
E_form	-0.76	eV per atom

[3]
An optimized crystal structure of Pr2TiGa3Ir4. Source: Alexandria via LeMat-Bulk, functional PBE.

The structure in POSCAR format:
```
Pr2TiGa3Ir4
1.0
4.227 0.000 0.000
0.000 4.227 0.000
0.000 0.000 10.741
Pr Ti Ga Ir
2 1 3 4
direct
0.000 0.500 0.235
0.500 0.000 0.765
0.000 0.000 0.500
0.000 0.500 0.874
0.500 0.000 0.126
0.500 0.500 0.500
0.000 0.000 0.000
0.000 0.500 0.637
0.500 0.000 0.363
0.500 0.500 0.000
```

Values from the calculation:
space-group type	P-4m2
spin magnetization	0.00	μB per formula unit
E_form	-0.72	eV per atom

[4]
An optimized crystal structure of Pr2TmGa3Ir4. Source: Alexandria via LeMat-Bulk, functional PBE.

The structure in POSCAR format:
```
Pr2TmGa3Ir4
1.0
4.278 0.000 0.000
0.000 4.278 0.000
0.000 0.000 11.049
Pr Tm Ga Ir
2 1 3 4
direct
0.000 0.500 0.225
0.500 0.000 0.775
0.000 0.000 0.500
0.000 0.500 0.882
0.500 0.000 0.118
0.500 0.500 0.500
0.000 0.000 0.000
0.000 0.500 0.653
0.500 0.000 0.347
0.500 0.500 0.000
```

Values from the calculation:
space-group type	P-4m2
spin magnetization	0.00	μB per formula unit
E_form	-0.72	eV per atom

[5]
An optimized crystal structure of PrYGa2Ir2. Source: Alexandria via LeMat-Bulk, functional PBE.

The structure in POSCAR format:
```
PrYGa2Ir2
1.0
4.406 0.000 0.000
-2.203 3.815 0.000
0.000 0.000 7.434
Pr Y Ga Ir
1 1 2 2
direct
0.000 0.000 0.000
0.000 0.000 0.500
0.333 0.667 0.271
0.667 0.333 0.729
0.333 0.667 0.732
0.667 0.333 0.268
```

Values from the calculation:
space-group type	P-3m1
spin magnetization	0.00	μB per formula unit
E_form	-0.75	eV per atom

[6]
An optimized crystal structure of PrZnGa3Ir. Source: Alexandria via LeMat-Bulk, functional PBE.

The structure in POSCAR format:
```
PrZnGa3Ir
1.0
3.252 -5.903 0.000
3.252 5.903 0.000
0.000 0.000 6.425
Pr Zn Ga Ir
2 2 6 2
direct
0.219 0.781 0.750
0.781 0.219 0.250
0.469 0.531 0.750
0.531 0.469 0.250
0.205 0.205 0.000
0.205 0.205 0.500
0.322 0.678 0.250
0.678 0.322 0.750
0.795 0.795 0.000
0.795 0.795 0.500
0.119 0.881 0.250
0.881 0.119 0.750
```

Values from the calculation:
space-group type	Cmcm
spin magnetization	0.00	μB per formula unit
E_form	-0.24	eV per atom

[7]
An optimized crystal structure of PrZn2GaIr2. Source: Alexandria via LeMat-Bulk, functional PBE.

The structure in POSCAR format:
```
PrZn2GaIr2
1.0
4.599 0.000 0.000
0.000 4.599 0.000
0.000 0.000 5.724
Pr Zn Ga Ir
1 2 1 2
direct
0.000 0.000 0.000
0.500 0.500 0.237
0.500 0.500 0.763
0.000 0.000 0.500
0.000 0.500 0.500
0.500 0.000 0.500
```

Values from the calculation:
space-group type	P4/mmm
spin magnetization	0.00	μB per formula unit
E_form	-0.07	eV per atom

[8]
An optimized crystal structure of PrZn2GaIr. Source: Alexandria via LeMat-Bulk, functional PBE.

The structure in POSCAR format:
```
PrZn2GaIr
1.0
-2.044 2.092 5.537
2.044 -2.092 5.537
2.044 2.092 -5.537
Pr Zn Ga Ir
1 2 1 1
direct
0.000 0.000 0.000
0.614 0.614 0.000
0.749 0.249 0.500
0.383 0.383 0.000
0.250 0.750 0.500
```

Values from the calculation:
space-group type	Imm2
spin magnetization	0.00	μB per formula unit
E_form	-0.41	eV per atom

[9]
An optimized crystal structure of Pr2ZnGa4Ir3. Source: Alexandria via LeMat-Bulk, functional PBE.

The structure in POSCAR format:
```
Pr2ZnGa4Ir3
1.0
4.202 0.000 0.000
0.000 4.202 0.000
0.000 0.000 10.879
Pr Zn Ga Ir
2 1 4 3
direct
0.000 0.500 0.245
0.500 0.000 0.755
0.000 0.000 0.500
0.000 0.000 0.000
0.000 0.500 0.634
0.500 0.000 0.366
0.500 0.500 0.000
0.000 0.500 0.867
0.500 0.000 0.133
0.500 0.500 0.500
```

Values from the calculation:
space-group type	P-4m2
spin magnetization	0.00	μB per formula unit
E_form	-0.61	eV per atom

[10]
An optimized crystal structure of Pr2ZrGa3Ir4. Source: Alexandria via LeMat-Bulk, functional PBE.

The structure in POSCAR format:
```
Pr2ZrGa3Ir4
1.0
4.247 0.000 0.000
0.000 4.247 0.000
0.000 0.000 11.019
Pr Zr Ga Ir
2 1 3 4
direct
0.000 0.500 0.227
0.500 0.000 0.773
0.000 0.000 0.500
0.000 0.500 0.879
0.500 0.000 0.121
0.500 0.500 0.500
0.000 0.000 0.000
0.000 0.500 0.647
0.500 0.000 0.353
0.500 0.500 0.000
```

Values from the calculation:
space-group type	P-4m2
spin magnetization	0.00	μB per formula unit
E_form	-0.73	eV per atom

[11]
An optimized crystal structure of Ga5IrPt2. Source: Alexandria via LeMat-Bulk, functional PBE.

The structure in POSCAR format:
```
Ga5IrPt2
1.0
12.519 0.000 0.000
0.000 5.797 0.000
0.000 0.000 7.362
Ga Ir Pt
20 4 8
direct
0.003 0.250 0.102
0.126 0.250 0.709
0.137 0.512 0.340
0.137 0.988 0.340
0.196 0.750 0.682
0.304 0.250 0.182
0.363 0.012 0.840
0.363 0.488 0.840
0.374 0.750 0.209
0.497 0.750 0.602
0.503 0.250 0.398
0.626 0.250 0.791
0.637 0.512 0.160
0.637 0.988 0.160
0.696 0.750 0.818
0.804 0.250 0.318
0.863 0.012 0.660
0.863 0.488 0.660
0.874 0.750 0.291
0.997 0.750 0.898
0.010 0.750 0.538
0.490 0.250 0.038
0.510 0.750 0.962
0.990 0.250 0.462
0.167 0.507 0.989
0.167 0.993 0.989
0.333 0.007 0.489
0.333 0.493 0.489
0.667 0.507 0.511
0.667 0.993 0.511
0.833 0.007 0.011
0.833 0.493 0.011
```

Values from the calculation:
space-group type	Pnma
spin magnetization	0.00	μB per formula unit
E_form	-0.43	eV per atom

[12]
An optimized crystal structure of Ga6IrPt3. Source: Alexandria via LeMat-Bulk, functional PBE.

The structure in POSCAR format:
```
Ga6IrPt3
1.0
4.947 2.856 4.354
-4.947 2.856 4.354
0.000 -5.712 4.354
Ga Ir Pt
12 2 6
direct
0.031 0.930 0.672
0.070 0.328 0.969
0.167 0.524 0.382
0.328 0.969 0.070
0.382 0.167 0.524
0.476 0.618 0.833
0.524 0.382 0.167
0.618 0.833 0.476
0.672 0.031 0.930
0.833 0.476 0.618
0.930 0.672 0.031
0.969 0.070 0.328
0.000 0.000 0.000
0.500 0.500 0.500
0.131 0.591 0.733
0.267 0.869 0.409
0.409 0.267 0.869
0.591 0.733 0.131
0.733 0.131 0.591
0.869 0.409 0.267
```

Values from the calculation:
space-group type	R-3
spin magnetization	0.00	μB per formula unit
E_form	-0.45	eV per atom

E_form of number 9 (Pr2ZnGa4Ir3)?
-0.61 eV per atom